# 1
# Dy6Ge3S14

A relaxed structure of Dy6Ge3S14 (PBE, Alexandria via LeMat-Bulk).

- ρ: 5.52 g/cm3
- Formation energy from raw total energies: -1444 meV/atom
- Volume: 494 Å³/cell

Structure (POSCAR):
```
Dy6Ge3S14
1.0
5.8349 0.0000 0.0000
0.0000 8.5592 -4.9416
0.0000 0.0000 9.8833
S Dy Ge
14 6 3
Direct
0.2126 0.5054 0.0717
0.5023 0.1849 0.7536
0.9951 0.0870 0.2350
0.7068 0.7676 0.1767
0.2126 0.5663 0.4946
0.2126 0.9283 0.4337
0.5023 0.5687 0.8151
0.9951 0.1481 0.9130
0.5023 0.2464 0.4313
0.9609 0.3333 0.6667
0.7068 0.4091 0.2324
0.9951 0.7650 0.8519
0.4527 0.0000 0.0000
0.7068 0.8233 0.5909
0.2511 0.8917 0.6926
0.7615 0.5312 0.5585
0.7615 0.4415 0.9727
0.7615 0.0273 0.4688
0.2511 0.3074 0.1991
0.2511 0.8009 0.1083
0.8309 0.0000 0.0000
0.3401 0.3333 0.6667
0.4703 0.6667 0.3333
```



# 2
# DyGe2S4

A relaxed structure of DyGe2S4 (PBE, Alexandria via LeMat-Bulk).

- ρ: 4.05 g/cm3
- Formation energy from raw total energies: -516 meV/atom
- Volume: 179 Å³/cell

Structure (POSCAR):
```
DyGe2S4
1.0
-3.2481 -2.7852 4.4359
6.1246 -0.3953 0.5629
-1.4100 5.9929 0.2856
Dy S Ge
1 4 2
Direct
0.5000 0.5000 0.0000
0.1836 0.6813 0.8649
0.6813 0.8164 0.4976
0.3187 0.1836 0.5024
0.8164 0.3187 0.1351
0.2500 0.7500 0.5000
0.7500 0.2500 0.5000
```



no.,magnetization (μB per atom)
1,0.00
2,0.00